PRhPb2 | Alexandria | PBE | optimized geometry; V = 22.2 A^3/atom; E_form = 229.0 meV/atom
1.0
-5.232 -4.816 -2.546
-3.201 -6.840 -0.107
-5.916 -4.554 1.146
Pb Rh P
2 1 1
Cartesian
-10.755 -12.151 -1.130
-3.594 -4.060 -0.377
0.000 0.000 0.000
-7.175 -8.105 -0.753